1.
An optimized crystal structure of BaHg2PdAu, computed with PBE.

Structure (POSCAR):
```
BaHg2PdAu
1.0
5.241 0.000 0.000
0.000 5.241 0.000
0.000 0.000 5.362
Ba Hg Pd Au
1 2 1 1
Direct
0.000 0.000 0.000 Ba
0.000 0.500 0.500 Hg
0.500 0.000 0.500 Hg
0.500 0.500 0.500 Pd
0.500 0.500 0.000 Au
```

Output
Its total energy is -12.765 eV per formula unit. The energy of formation is -1.77 eV/f.u.

=====

2.
An optimized crystal structure of LaSbAu2, computed with PBE.

Structure (POSCAR):
```
LaSbAu2
1.0
4.616 0.000 0.000
0.000 4.616 0.000
0.000 0.000 4.564
La Sb Au
1 1 2
Direct
0.000 0.000 0.000 La
0.500 0.500 0.000 Sb
0.000 0.500 0.500 Au
0.500 0.000 0.500 Au
```

Output
Its total energy is -18.014 eV per formula unit. For the uncorrected formation energy, the calculation gives -232 kJ/mol of formula units.